1.
Compound: Nd3Sm6Ho2Sc
Source: Alexandria
Functional: PBE
Structure: relaxed

Cell lengths 6.238, 6.238, 11.886 Å; angles 95.01, 95.01, 120.01 degrees
Sites, in units of the cell vectors:
Nd: 0.167 0.833 0.500
Nd: 0.833 0.167 0.500
Nd: 0.500 0.500 0.500
Sm: 0.919 0.589 0.757
Sm: 0.751 0.751 0.243
Sm: 0.081 0.411 0.243
Sm: 0.589 0.919 0.757
Sm: 0.249 0.249 0.757
Sm: 0.411 0.081 0.243
Ho: 0.333 0.667 0.000
Ho: 0.667 0.333 0.000
Sc: 0.000 0.000 0.000

SG   C2/m
DFT formation energy   0.0297 eV per atom
Total moment   0.000 μB/f.u.



2.
Compound: NdSm6Ho3Sc2
Source: Alexandria
Functional: PBE
Structure: relaxed

Cell lengths 6.155, 6.155, 11.680 Å; angles 95.02, 95.02, 119.97 degrees
Sites, in units of the cell vectors:
Nd: 0.000 0.000 0.000
Sm: 0.917 0.580 0.753
Sm: 0.746 0.746 0.247
Sm: 0.083 0.420 0.247
Sm: 0.580 0.917 0.753
Sm: 0.254 0.254 0.753
Sm: 0.420 0.083 0.247
Ho: 0.167 0.833 0.500
Ho: 0.833 0.167 0.500
Ho: 0.500 0.500 0.500
Sc: 0.334 0.666 0.000
Sc: 0.666 0.334 0.000

SG   C2/m
DFT formation energy   0.0365 eV per atom
Total moment   0.000 μB/f.u.



3.
Compound: Nd2Sm4HoSc
Source: Alexandria
Functional: PBE
Structure: relaxed

Cell lengths 5.081, 5.068, 11.303 Å; angles 63.31, 90.00, 90.00 degrees
Sites, in units of the cell vectors:
Nd: 0.000 0.000 0.000
Nd: 0.500 0.000 0.500
Sm: 0.000 0.755 0.745
Sm: 0.000 0.245 0.255
Sm: 0.500 0.746 0.254
Sm: 0.500 0.254 0.746
Ho: 0.500 0.500 0.000
Sc: 0.000 0.500 0.500

SG   P2/m
DFT formation energy   0.0312 eV per atom
Total moment   0.000 μB/f.u.



4.
Compound: Tb4Nd2HoSc
Source: Alexandria
Functional: PBE
Structure: relaxed

Cell lengths 5.026, 5.027, 11.207 Å; angles 63.36, 90.00, 90.00 degrees
Sites, in units of the cell vectors:
Tb: 0.000 0.746 0.754
Tb: 0.000 0.254 0.246
Tb: 0.500 0.754 0.245
Tb: 0.500 0.246 0.755
Nd: 0.000 0.000 0.000
Nd: 0.500 0.000 0.500
Ho: 0.000 0.500 0.500
Sc: 0.500 0.500 0.000

SG   P4/mmm
DFT formation energy   0.0325 eV per atom
Total moment   0.000 μB/f.u.



5.
Compound: TbNd4Ho2Sc
Source: Alexandria
Functional: PBE
Structure: relaxed

Cell lengths 5.107, 5.091, 11.149 Å; angles 62.84, 90.00, 90.00 degrees
Sites, in units of the cell vectors:
Tb: 0.500 0.500 0.000
Nd: 0.000 0.756 0.744
Nd: 0.000 0.244 0.256
Nd: 0.500 0.744 0.255
Nd: 0.500 0.256 0.745
Ho: 0.000 0.000 0.000
Ho: 0.500 0.000 0.500
Sc: 0.000 0.500 0.500

SG   Pmmm
DFT formation energy   0.0273 eV per atom
Total moment   0.000 μB/f.u.



6.
Compound: TbNdHoSc
Source: Alexandria
Functional: PBE
Structure: relaxed

Cell lengths 3.775, 5.653, 6.703 Å; angles 114.94, 73.62, 90.00 degrees
Sites, in units of the cell vectors:
Tb: 0.654 0.411 0.821
Nd: 0.419 0.140 0.280
Ho: 0.193 0.872 0.744
Sc: 0.920 0.642 0.285

SG   Cm
ΔE to the lowest computed polymorph   0 kJ/mol of formula units
DFT formation energy   0.0949 eV per atom
Total moment   0.000 μB/f.u.